1.
First-principles (PBE-GGA) data for an optimized crystal structure of Tb6Pr2SmHo3, as listed in the Alexandria database.

Cell lengths 6.2064, 6.2064, 11.8679 Å; angles 94.98, 94.98, 119.97 degrees
With the nearest neighbours (Å) after each atom.
Atoms (fractional coordinates):
Tb 0.5819 0.9148 0.7457  3 Ho 3.54, 6 Tb 3.58-3.59, 2 Pr 3.62, 1 Sm 3.62
Tb 0.2476 0.2476 0.7454  3 Ho 3.54, 6 Tb 3.58-3.59, 1 Sm 3.62, 2 Pr 3.63
Tb 0.7524 0.7524 0.2546  3 Ho 3.54, 6 Tb 3.58-3.59, 1 Sm 3.62, 2 Pr 3.63
Tb 0.4181 0.0852 0.2543  3 Ho 3.54, 6 Tb 3.58-3.59, 2 Pr 3.62, 1 Sm 3.62
Tb 0.0852 0.4181 0.2543  3 Ho 3.54, 6 Tb 3.58-3.59, 2 Pr 3.62, 1 Sm 3.62
Tb 0.9148 0.5819 0.7457  3 Ho 3.54, 6 Tb 3.58-3.59, 2 Pr 3.62, 1 Sm 3.62
Ho 0.1666 0.8334 0.5000  6 Tb 3.54, 6 Ho 3.58
Ho 0.8334 0.1666 0.5000  6 Tb 3.54, 6 Ho 3.58
Ho 0.5000 0.5000 0.5000  6 Tb 3.54, 6 Ho 3.58
Pr 0.3335 0.6665 0.0000  3 Pr 3.58-3.59, 3 Sm 3.58, 6 Tb 3.62-3.63
Pr 0.6665 0.3335 0.0000  3 Pr 3.58-3.59, 3 Sm 3.58, 6 Tb 3.62-3.63
Sm 0.0000 0.0000 0.0000  6 Pr 3.58, 6 Tb 3.62

Results
As for the formation energy: 0.41 kcal/mol of atoms. The value obtained for the density of states at the Fermi level is 1.30 states/eV per atom. Its magnetic moment is 0.00 μB per formula unit.

---

2.
First-principles (PBE-GGA) data for an optimized crystal structure of Tb6Pr2SmHo, as listed in the Alexandria database.

Cell lengths 9.7969, 8.8215, 8.8215 Å; angles 118.02, 94.66, 94.66 degrees
With the nearest neighbours (Å) after each atom.
Atoms (fractional coordinates):
Pr 0.5419 0.1939 0.2954  5 Tb 3.29-3.56, 2 Sm 3.37-3.40, 1 Ho 3.58
Pr 0.4581 0.8061 0.7046  5 Tb 3.29-3.56, 2 Sm 3.37-3.40, 1 Ho 3.58
Pr 0.9581 0.7046 0.8061  5 Tb 3.29-3.56, 2 Sm 3.37-3.40, 1 Ho 3.58
Pr 0.0419 0.2954 0.1939  5 Tb 3.29-3.56, 2 Sm 3.37-3.40, 1 Ho 3.58
Tb 0.3804 0.5061 0.2948  4 Tb 3.26-3.52, 3 Pr 3.29-3.49, 2 Ho 3.44-3.60
Tb 0.4430 0.2585 0.8772  8 Tb 3.43-3.79, 1 Pr 3.56, 1 Sm 3.67, 1 Ho 3.78
Tb 0.6875 0.0203 0.5744  2 Tb 3.26-3.61, 1 Pr 3.42, 1 Ho 3.47, 1 Sm 3.62
Tb 0.9430 0.8772 0.2585  8 Tb 3.43-3.79, 1 Pr 3.56, 1 Sm 3.67, 1 Ho 3.78
Tb 0.1875 0.5744 0.0203  2 Tb 3.26-3.61, 1 Pr 3.42, 1 Ho 3.47, 1 Sm 3.62
Tb 0.6196 0.4939 0.7052  4 Tb 3.26-3.52, 3 Pr 3.29-3.49, 2 Ho 3.44-3.60
Tb 0.3125 0.9797 0.4256  2 Tb 3.26-3.61, 1 Pr 3.42, 1 Ho 3.47, 1 Sm 3.62
Tb 0.8125 0.4256 0.9797  2 Tb 3.26-3.61, 1 Pr 3.42, 1 Ho 3.47, 1 Sm 3.62
Tb 0.0570 0.1228 0.7415  8 Tb 3.43-3.79, 1 Pr 3.56, 1 Sm 3.67, 1 Ho 3.78
Tb 0.8804 0.2948 0.5061  4 Tb 3.26-3.52, 3 Pr 3.29-3.49, 2 Ho 3.44-3.60
Tb 0.1196 0.7052 0.4939  4 Tb 3.26-3.52, 3 Pr 3.29-3.49, 2 Ho 3.44-3.60
Tb 0.5570 0.7415 0.1228  8 Tb 3.43-3.79, 1 Pr 3.56, 1 Sm 3.67, 1 Ho 3.78
Ho 0.7500 0.5932 0.4068  8 Tb 3.44-3.78, 2 Pr 3.58
Ho 0.2500 0.4068 0.5932  8 Tb 3.44-3.78, 2 Pr 3.58
Sm 0.7500 0.0169 0.9831  4 Pr 3.37-3.40, 4 Tb 3.62-3.67
Sm 0.2500 0.9831 0.0169  4 Pr 3.37-3.40, 4 Tb 3.62-3.67

Results
As for the formation energy: 2.68 kcal/mol of atoms. The value obtained for the density of states at the Fermi level is 1.42 states/eV per atom. Its magnetic moment is 0.00 μB per formula unit.

---

3.
First-principles (PBE-GGA) data for an optimized crystal structure of TbPrSm2Ho4, as listed in the Alexandria database.

Cell lengths 9.5239, 9.5239, 11.8251 Å; angles 128.38, 128.38, 88.43 degrees
With the nearest neighbours (Å) after each atom.
Atoms (fractional coordinates):
Ho 0.7494 0.7504 0.9983  3 Sm 3.31-3.43, 1 Pr 3.33, 2 Tb 3.40, 2 Ho 3.41
Ho 0.7508 0.2473 0.9991  1 Tb 3.30, 3 Sm 3.34-3.41, 2 Ho 3.40-3.42, 2 Pr 3.42
Ho 0.7473 0.2508 0.4991  1 Tb 3.30, 3 Sm 3.34-3.41, 2 Ho 3.40-3.42, 2 Pr 3.42
Ho 0.2506 0.2496 0.0017  3 Sm 3.31-3.43, 1 Pr 3.33, 2 Tb 3.40, 2 Ho 3.41
Ho 0.2492 0.7527 0.0009  1 Tb 3.30, 3 Sm 3.34-3.41, 2 Ho 3.40-3.42, 2 Pr 3.42
Ho 0.2527 0.7492 0.5009  1 Tb 3.30, 3 Sm 3.34-3.41, 2 Ho 3.40-3.42, 2 Pr 3.42
Ho 0.7495 0.7506 0.5017  3 Sm 3.31-3.43, 1 Pr 3.33, 2 Tb 3.40, 2 Ho 3.41
Ho 0.2504 0.2494 0.4983  3 Sm 3.31-3.43, 1 Pr 3.33, 2 Tb 3.40, 2 Ho 3.41
Sm 0.5000 0.0000 0.0000  6 Ho 3.31-3.41, 2 Pr 3.41
Sm 0.5000 0.0000 0.5000  6 Ho 3.31-3.41, 2 Pr 3.41
Sm 0.5000 0.5000 0.0000  6 Ho 3.34-3.43, 2 Sm 3.41
Sm 0.0000 0.0000 0.5000  6 Ho 3.34-3.43, 2 Sm 3.41
Tb 0.5000 0.5000 0.5000  6 Ho 3.30-3.40, 2 Tb 3.41
Tb 0.0000 0.0000 0.0000  6 Ho 3.30-3.40, 2 Tb 3.41
Pr 0.0000 0.5000 0.5000  6 Ho 3.33-3.42, 2 Sm 3.41
Pr 0.0000 0.5000 0.0000  6 Ho 3.33-3.42, 2 Sm 3.41

Results
As for the formation energy: 9.70 kcal/mol of atoms. The value obtained for the density of states at the Fermi level is 2.23 states/eV per atom. Its magnetic moment is 3.00 μB per formula unit.

---

4.
First-principles (PBE-GGA) data for an optimized crystal structure of Tb2Pr4Sm2Ho, as listed in the Alexandria database.

Cell lengths 5.1585, 8.1551, 8.1180 Å; angles 107.61, 90.00, 108.44 degrees
With the nearest neighbours (Å) after each atom.
Atoms (fractional coordinates):
Sm 0.1115 0.2231 0.6704  3 Tb 3.62, 1 Ho 3.62, 7 Pr 3.64-3.68, 1 Sm 3.67
Sm 0.8885 0.7769 0.3296  3 Tb 3.62, 1 Ho 3.62, 7 Pr 3.64-3.68, 1 Sm 3.67
Pr 0.5544 0.1089 0.3306  2 Tb 3.61-3.63, 2 Ho 3.62, 4 Sm 3.64-3.67, 4 Pr 3.66-3.67
Pr 0.7779 0.5557 0.6695  3 Tb 3.62, 1 Ho 3.62, 3 Sm 3.65-3.68, 5 Pr 3.66-3.67
Pr 0.4456 0.8911 0.6694  2 Tb 3.61-3.63, 2 Ho 3.62, 4 Sm 3.64-3.67, 4 Pr 3.66-3.67
Pr 0.2221 0.4443 0.3305  3 Tb 3.62, 1 Ho 3.62, 3 Sm 3.65-3.68, 5 Pr 3.66-3.67
Ho 0.0000 0.0000 0.0000  2 Sm 3.62, 6 Pr 3.62, 4 Tb 3.65
Tb 0.3333 0.6666 0.0003  5 Pr 3.61-3.63, 3 Sm 3.62, 2 Tb 3.64, 2 Ho 3.65
Tb 0.6667 0.3334 0.9997  5 Pr 3.61-3.63, 3 Sm 3.62, 2 Tb 3.64, 2 Ho 3.65

Results
As for the formation energy: 0.45 kcal/mol of atoms. The value obtained for the density of states at the Fermi level is 1.59 states/eV per atom. Its magnetic moment is 0.00 μB per formula unit.

---

5.
First-principles (PBE-GGA) data for an optimized crystal structure of TbPr3Sm2Ho6, as listed in the Alexandria database.

Cell lengths 6.2363, 6.2363, 11.8141 Å; angles 95.03, 95.03, 119.99 degrees
With the nearest neighbours (Å) after each atom.
Atoms (fractional coordinates):
Pr 0.1667 0.8333 0.5000  6 Ho 3.60, 6 Pr 3.60
Pr 0.5000 0.5000 0.5000  6 Ho 3.60, 6 Pr 3.60
Pr 0.8333 0.1667 0.5000  6 Ho 3.60, 6 Pr 3.60
Sm 0.3334 0.6666 0.0000  6 Ho 3.55, 3 Sm 3.60, 3 Tb 3.60
Sm 0.6666 0.3334 0.0000  6 Ho 3.55, 3 Sm 3.60, 3 Tb 3.60
Ho 0.9175 0.5844 0.7527  2 Sm 3.55, 1 Tb 3.55, 6 Ho 3.60, 3 Pr 3.60
Ho 0.4156 0.0825 0.2473  2 Sm 3.55, 1 Tb 3.55, 6 Ho 3.60, 3 Pr 3.60
Ho 0.5844 0.9175 0.7527  2 Sm 3.55, 1 Tb 3.55, 6 Ho 3.60, 3 Pr 3.60
Ho 0.2505 0.2505 0.7526  1 Tb 3.55, 2 Sm 3.55, 6 Ho 3.60, 3 Pr 3.60
Ho 0.0825 0.4156 0.2473  2 Sm 3.55, 1 Tb 3.55, 6 Ho 3.60, 3 Pr 3.60
Ho 0.7495 0.7495 0.2474  1 Tb 3.55, 2 Sm 3.55, 6 Ho 3.60, 3 Pr 3.60
Tb 0.0000 0.0000 0.0000  6 Ho 3.55, 6 Sm 3.60

Results
As for the formation energy: 0.36 kcal/mol of atoms. The value obtained for the density of states at the Fermi level is 1.15 states/eV per atom. Its magnetic moment is 0.00 μB per formula unit.

---

6.
First-principles (PBE-GGA) data for an optimized crystal structure of TbPr6Sm3Ho2, as listed in the Alexandria database.

Cell lengths 6.3402, 6.3402, 11.9951 Å; angles 95.04, 95.04, 120.01 degrees
With the nearest neighbours (Å) after each atom.
Atoms (fractional coordinates):
Pr 0.5835 0.9171 0.7526  2 Ho 3.60-3.61, 1 Tb 3.61, 3 Sm 3.65-3.66, 6 Pr 3.66
Pr 0.2507 0.2507 0.7526  1 Tb 3.60, 2 Ho 3.61, 3 Sm 3.66, 6 Pr 3.66
Pr 0.0829 0.4165 0.2474  2 Ho 3.60-3.61, 1 Tb 3.61, 3 Sm 3.65-3.66, 6 Pr 3.66
Pr 0.9171 0.5835 0.7526  2 Ho 3.60-3.61, 1 Tb 3.61, 3 Sm 3.65-3.66, 6 Pr 3.66
Pr 0.7493 0.7493 0.2474  1 Tb 3.60, 2 Ho 3.61, 3 Sm 3.66, 6 Pr 3.66
Pr 0.4165 0.0829 0.2474  2 Ho 3.60-3.61, 1 Tb 3.61, 3 Sm 3.65-3.66, 6 Pr 3.66
Tb 0.0000 0.0000 0.0000  6 Pr 3.60-3.61, 6 Ho 3.66
Ho 0.6666 0.3334 0.0000  6 Pr 3.60-3.61, 3 Tb 3.66, 3 Ho 3.66
Ho 0.3334 0.6666 0.0000  6 Pr 3.60-3.61, 3 Tb 3.66, 3 Ho 3.66
Sm 0.1667 0.8333 0.5000  6 Pr 3.65-3.66, 6 Sm 3.66
Sm 0.8333 0.1667 0.5000  6 Pr 3.65-3.66, 6 Sm 3.66
Sm 0.5000 0.5000 0.5000  6 Pr 3.66, 6 Sm 3.66

Results
As for the formation energy: 0.28 kcal/mol of atoms. The value obtained for the density of states at the Fermi level is 1.23 states/eV per atom. Its magnetic moment is 0.00 μB per formula unit.

---

7.
First-principles (PBE-GGA) data for an optimized crystal structure of PrSm3Ho3Te8, as listed in the Alexandria database.

Cell lengths 8.7639, 8.7639, 8.7590 Å; angles 120.02, 90.00, 120.00 degrees
With the nearest neighbours (Å) after each atom.
Atoms (fractional coordinates):
Sm 0.0000 0.5000 0.0000  6 Te 3.13-3.14
Sm 0.0000 0.0000 0.0000  6 Te 3.13-3.14
Sm 0.5000 0.5000 0.0000  6 Te 3.13-3.14
Te 0.2611 0.9942 0.7552  2 Ho 3.06, 2 Sm 3.14, 1 Pr 3.24
Te 0.7389 0.0058 0.2448  2 Ho 3.06, 2 Sm 3.14, 1 Pr 3.24
Te 0.7471 0.4942 0.7413  3 Ho 3.06, 3 Sm 3.13
Te 0.2529 0.5058 0.2587  3 Ho 3.06, 3 Sm 3.13
Te 0.7389 0.4778 0.2448  2 Ho 3.06, 2 Sm 3.14, 1 Pr 3.24
Te 0.2611 0.5222 0.7552  2 Ho 3.06, 2 Sm 3.14, 1 Pr 3.24
Te 0.7331 0.9942 0.7552  2 Ho 3.06, 2 Sm 3.14, 1 Pr 3.24
Te 0.2669 0.0058 0.2448  2 Ho 3.06, 2 Sm 3.14, 1 Pr 3.24
Ho 0.5000 0.5000 0.5000  6 Te 3.06
Ho 0.0000 0.5000 0.5000  6 Te 3.06
Ho 0.5000 0.0000 0.5000  6 Te 3.06
Pr 0.0000 0.0000 0.5000  6 Te 3.24

Results
The value obtained for the density of states at the Fermi level is 0.46 states/eV per atom. Its magnetic moment is 0.00 μB per formula unit. As for the energy relative to the elements, uncorrected: -1.395 eV per atom.

---

8.
First-principles (PBE-GGA) data for an optimized crystal structure of Pr2Sm3HoTe6, as listed in the Alexandria database.

Cell lengths 4.4276, 8.9621, 9.9501 Å; angles 102.27, 102.86, 90.00 degrees
With the nearest neighbours (Å) after each atom.
Atoms (fractional coordinates):
Sm 0.8266 0.1653 0.6533  6 Te 3.11-3.23
Sm 0.5000 0.5000 0.0000  6 Te 3.09-3.19
Sm 0.1734 0.8347 0.3467  6 Te 3.11-3.23
Pr 0.1701 0.3363 0.3403  6 Te 3.16-3.28
Pr 0.8299 0.6637 0.6597  6 Te 3.16-3.28
Te 0.9971 0.2419 0.9942  2 Ho 3.11, 3 Sm 3.19-3.23, 1 Pr 3.28
Te 0.6632 0.5865 0.3264  3 Sm 3.09-3.11, 3 Pr 3.16-3.17
Te 0.3368 0.4135 0.6736  3 Sm 3.09-3.11, 3 Pr 3.16-3.17
Te 0.0029 0.7581 0.0058  2 Ho 3.11, 3 Sm 3.19-3.23, 1 Pr 3.28
Te 0.6611 0.0755 0.3221  1 Ho 3.05, 3 Sm 3.14, 2 Pr 3.20
Te 0.3389 0.9245 0.6779  1 Ho 3.05, 3 Sm 3.14, 2 Pr 3.20
Ho 0.5000 0.0000 0.0000  6 Te 3.05-3.11

Results
The value obtained for the density of states at the Fermi level is 0.56 states/eV per atom. Its magnetic moment is 0.00 μB per formula unit. As for the energy relative to the elements, uncorrected: -1.379 eV per atom.

---

9.
First-principles (PBE-GGA) data for an optimized crystal structure of PrSm2Ho3Te6, as listed in the Alexandria database.

Cell lengths 4.3610, 8.9031, 9.8944 Å; angles 104.24, 102.73, 90.00 degrees
With the nearest neighbours (Å) after each atom.
Atoms (fractional coordinates):
Te 0.9983 0.2603 0.9967  3 Ho 3.04-3.05, 1 Sm 3.13, 2 Pr 3.19
Te 0.6652 0.5878 0.3303  3 Ho 3.08-3.09, 3 Sm 3.16-3.17
Te 0.6714 0.0782 0.3428  3 Ho 3.07, 2 Sm 3.15, 1 Pr 3.20
Te 0.3286 0.9218 0.6572  3 Ho 3.07, 2 Sm 3.15, 1 Pr 3.20
Te 0.3348 0.4122 0.6697  3 Ho 3.08-3.09, 3 Sm 3.16-3.17
Te 0.0017 0.7397 0.0033  3 Ho 3.04-3.05, 1 Sm 3.13, 2 Pr 3.19
Ho 0.8355 0.1680 0.6711  6 Te 3.04-3.08
Ho 0.5000 0.5000 0.0000  6 Te 3.05-3.09
Ho 0.1645 0.8320 0.3289  6 Te 3.04-3.08
Sm 0.1654 0.3303 0.3307  6 Te 3.13-3.17
Sm 0.8346 0.6697 0.6693  6 Te 3.13-3.17
Pr 0.5000 0.0000 0.0000  6 Te 3.19-3.20

Results
The value obtained for the density of states at the Fermi level is 0.50 states/eV per atom. Its magnetic moment is 0.00 μB per formula unit. As for the energy relative to the elements, uncorrected: -1.328 eV per atom.

---

10.
First-principles (PBE-GGA) data for an optimized crystal structure of Pr4Sm3HoTe8, as listed in the Alexandria database.

Cell lengths 8.9144, 8.9899, 8.9113 Å; angles 119.69, 120.01, 90.00 degrees
With the nearest neighbours (Å) after each atom.
Atoms (fractional coordinates):
Te 0.2489 0.2606 0.0047  1 Ho 3.09, 2 Sm 3.14, 3 Pr 3.20-3.24
Te 0.2441 0.7394 0.9953  1 Ho 3.09, 2 Sm 3.14, 3 Pr 3.20-3.24
Te 0.7559 0.2606 0.0047  1 Ho 3.09, 2 Sm 3.14, 3 Pr 3.20-3.24
Te 0.7476 0.7428 0.4952  3 Sm 3.13, 3 Pr 3.20
Te 0.2442 0.7395 0.4885  1 Ho 3.09, 2 Sm 3.14, 3 Pr 3.20-3.24
Te 0.2524 0.2572 0.5048  3 Sm 3.13, 3 Pr 3.20
Te 0.7511 0.7394 0.9953  1 Ho 3.09, 2 Sm 3.14, 3 Pr 3.20-3.24
Te 0.7558 0.2605 0.5115  1 Ho 3.09, 2 Sm 3.14, 3 Pr 3.20-3.24
Sm 0.5000 0.5000 0.0000  6 Te 3.13-3.14
Sm 0.5000 0.5000 0.5000  6 Te 3.13-3.14
Sm 0.0000 0.5000 0.5000  6 Te 3.13-3.14
Ho 0.0000 0.5000 0.0000  6 Te 3.09
Pr 0.0000 0.0000 0.0000  6 Te 3.20
Pr 0.5000 0.0000 0.5000  6 Te 3.20
Pr 0.0000 0.0000 0.5000  6 Te 3.20
Pr 0.5000 0.0000 0.0000  6 Te 3.24

Results
The value obtained for the density of states at the Fermi level is 0.76 states/eV per atom. Its magnetic moment is 0.00 μB per formula unit. As for the energy relative to the elements, uncorrected: -1.391 eV per atom.